Model one:
VASP calculation (GGA+U) on crystalline In3CoO at its relaxed geometry.

```
5
Lattice="-2.3691 0.1182 4.2090 0.3793 -4.8039 0.3484 4.1936 0.5013 2.3464" Properties=species:S:1:pos:R:3 pbc="T T T"
Co 0.0000 0.0000 0.0000
O 1.1019 -2.0922 3.4519
In 0.1897 -2.4020 0.1742
In 2.0968 0.2507 1.1732
In -1.1846 0.0591 2.1045
```

Output
Volume ... 112.8 Å³/cell

***

Model two:
VASP calculation (GGA+U) on crystalline In3CoO at its relaxed geometry.

```
5
Lattice="-3.3331 2.2536 2.5417 0.6016 -3.1130 3.5490 3.3432 2.8069 1.8954" Properties=species:S:1:pos:R:3 pbc="T T T"
Co 0.3059 0.9738 3.9931
O 0.0000 0.0000 0.0000
In 0.3008 -1.5565 1.7745
In 1.6716 1.4035 0.9477
In -1.6665 1.1268 1.2708
```

Output
Volume ... 107.8 Å³/cell

***

It turns out model two is the most stable, with the second structure 28.1 kJ/mol of atoms higher.

***

Model one:
VASP calculation (GGA+U) on crystalline InCo3O at its relaxed geometry.

```
5
Lattice="-0.8208 0.5309 -3.8891 -0.4998 -3.9550 -0.4344 -3.8932 0.3958 0.8757" Properties=species:S:1:pos:R:3 pbc="T T T"
Co -0.2499 -1.9775 -0.2172
Co -1.9466 0.1979 0.4378
Co -0.4104 0.2654 -1.9445
O 0.0000 0.0000 0.0000
In -2.6069 -1.5141 -1.7239
```

Output
Volume ... 64.5 Å³/cell

***

Model two:
VASP calculation (GGA+U) on crystalline InCo3O at its relaxed geometry.

```
5
Lattice="4.8731 0.0000 0.0000 0.0000 4.8731 0.0000 0.0000 0.0000 4.8731" Properties=species:S:1:pos:R:3 pbc="T T T"
Co 0.0000 2.4366 0.0000
Co 0.0000 0.0000 2.4366
Co 2.4366 0.0000 0.0000
O 2.4366 2.4366 2.4366
In 0.0000 0.0000 0.0000
```

Output
Volume ... 115.7 Å³/cell

***

It turns out model one is the most stable, with the second structure 162.4 kJ/mol of atoms higher.

***

Model one:
VASP calculation (GGA+U) on crystalline InCoPO2 at its relaxed geometry.

```
5
Lattice="3.9769 0.0000 0.0000 0.0000 3.9769 0.0000 0.0000 0.0000 5.8286" Properties=species:S:1:pos:R:3 pbc="T T T"
P 0.0000 0.0000 2.9143
Co 1.9885 1.9885 2.9143
O 0.0000 1.9885 0.0000
O 1.9885 0.0000 0.0000
In 0.0000 0.0000 0.0000
```

Output
Volume ... 92.2 Å³/cell

***

Model two:
VASP calculation (GGA+U) on crystalline InCoPO2 at its relaxed geometry.

```
5
Lattice="3.7598 0.0000 0.0000 0.0000 3.7598 0.0000 0.0000 0.0000 4.8591" Properties=species:S:1:pos:R:3 pbc="T T T"
P 0.0000 0.0000 2.4295
Co 0.0000 0.0000 0.0000
O 0.0000 1.8799 0.0000
O 1.8799 0.0000 0.0000
In 1.8799 1.8799 2.4295
```

Output
Volume ... 68.7 Å³/cell

***

It turns out model two is the most stable, with the second structure 50.3 kJ/mol of atoms higher.

***

Model one:
VASP calculation (GGA+U) on crystalline InCoP2O at its relaxed geometry.

```
5
Lattice="-3.9531 -0.9077 2.7548 2.6479 -3.0301 2.8013 0.8320 2.6329 2.0615" Properties=species:S:1:pos:R:3 pbc="T T T"
P 1.3239 -1.5150 1.4006
P -1.9765 -0.4539 1.3774
Co 0.0000 0.0000 0.0000
O 0.4160 1.3165 1.0308
In -0.2366 -0.6524 3.8088
```

Output
Volume ... 82.8 Å³/cell

***

Model two:
VASP calculation (GGA+U) on crystalline InCoP2O at its relaxed geometry.

```
5
Lattice="-3.9692 -3.1024 -2.0757 -0.9496 -2.0909 4.9411 -2.7541 3.0221 0.7496" Properties=species:S:1:pos:R:3 pbc="T T T"
P -0.4748 -1.0455 2.4705
P -1.9846 -1.5512 -1.0378
Co -3.8365 -1.0856 1.8075
O -1.3771 1.5111 0.3748
In 0.0000 0.0000 0.0000
```

Output
Volume ... 123.4 Å³/cell

***

It turns out model one is the most stable, with the second structure 83.2 kJ/mol of atoms higher.